Zr2ScRu (SCAN, PBEsol geometry); space-group type = Imm2 (44); total magnetic moment = 0.000 μB per formula unit; formation enthalpy at 0 K = -0.390 eV/atom
1.0
3.2753 0.0000 0.0000
0.0000 4.8038 0.0000
-1.6377 -2.4019 4.9107
Sc Ru Zr
1 1 2
Cartesian
0.0000 2.4019 2.1290
0.0000 0.0000 4.8908
0.0000 0.0000 0.0181
1.6377 0.0000 2.7835